1.
4
Lattice="-5.235 0.985 -1.703 -4.932 -2.554 0.651 -2.991 2.772 4.553" Properties=species:S:1:pos:R:3 comment="SrIn2Se | Alexandria | GGA-PBE | optimized geometry" rho_g_cm3=5.2 formation_energy_uncorrected_ev_per_atom=-0.6493 pbc="T T T"
In -10.214 1.052 2.896
Sr -3.281 0.744 1.541
In -3.089 2.687 4.438
Se -6.142 0.092 0.929

---

2.
5
Lattice="-4.022 2.426 2.793 0.295 -3.902 3.814 3.688 2.958 2.741" Properties=species:S:1:pos:R:3 comment="AcSm3Fe | Alexandria | GGA-PBE | optimized geometry" formation_energy_ev_per_atom=0.1531 rho_g_cm3=7.5 pbc="T T T"
Sm 0.148 -1.951 1.907
Sm 1.844 1.479 1.370
Sm -2.011 1.213 1.396
Fe 0.000 0.000 0.000
Ac -0.020 0.741 4.674

---

3.
8
Lattice="4.344 0.000 0.000 0.000 7.508 0.124 0.000 -2.635 7.385" Properties=species:S:1:pos:R:3 comment="Th4GeBi2P | Alexandria | GGA-PBE | optimized geometry" formation_energy_ev_per_atom=-0.8995 rho_g_cm3=9.9 pbc="T T T"
Th 2.172 3.612 5.881
Th 0.000 4.938 1.655
Th 2.172 1.260 1.628
Bi 2.172 -1.318 3.693
Th 0.000 -0.066 5.854
Bi 0.000 2.436 3.755
Ge 0.000 0.000 0.000
P 2.172 3.754 0.062

---

4.
8
Lattice="4.196 0.000 0.000 0.000 4.196 0.000 2.098 2.098 8.033" Properties=species:S:1:pos:R:3 comment="AlRh2Br | Alexandria | GGA-PBE | optimized geometry" polymorph_energy_mev_per_atom=490 rho_g_cm3=7.3 formation_energy_uncorrected_ev_per_atom=0.1736 pbc="T T T"
Al 2.098 4.196 4.017
Rh 3.162 1.049 2.008
Rh 1.033 3.147 2.008
Br 4.196 2.098 4.017
Rh 3.147 3.131 6.025
Rh 5.245 5.260 6.025
Al 2.098 2.098 0.000
Br 0.000 0.000 0.000

---

5.
10
Lattice="3.933 -0.005 -0.503 -0.008 7.595 -0.147 -1.031 2.479 7.528" Properties=species:S:1:pos:R:3 comment="Zr3SbAs | Alexandria | GGA-PBE | optimized geometry" polymorph_energy_mev_per_atom=0 rho_g_cm3=7.0 formation_energy_uncorrected_ev_per_atom=-0.7493 pbc="T T T"
Zr 2.566 3.953 0.013
Zr 0.653 1.154 0.708
Sb 2.865 2.106 2.367
Zr -0.704 9.034 5.643
Zr 0.956 4.239 3.046
Zr -0.714 5.083 5.602
Zr 2.846 6.776 2.172
Sb 1.156 7.044 4.574
As 0.666 5.892 0.762
As 1.322 3.297 5.916

---

6.
4
Lattice="-1.823 -3.294 0.883 2.282 -0.898 1.362 0.399 1.393 6.018" Properties=species:S:1:pos:R:3 comment="TaNiPt2 | Alexandria | GGA-PBE | optimized geometry" formation_energy_ev_per_atom=-0.5409 rho_g_cm3=17.5 pbc="T T T"
Ta -0.241 -1.523 2.287
Ni 1.099 -1.275 5.977
Pt 0.415 1.373 5.977
Pt 1.324 0.268 3.731

---

7.
8
Lattice="3.985 0.000 0.000 0.000 7.215 -0.189 0.000 2.496 6.620" Properties=species:S:1:pos:R:3 comment="Ce4PtS2Cl | Alexandria | GGA-PBE | optimized geometry" rho_g_cm3=7.4 formation_energy_uncorrected_ev_per_atom=-1.6062 pbc="T T T"
Cl 0.000 4.856 3.215
S 1.993 1.248 3.310
Ce 1.993 3.577 4.949
Pt 1.993 6.104 6.525
Ce 0.000 7.333 4.855
Ce 3.985 2.379 1.576
S 0.000 2.496 6.620
Ce 1.993 6.135 1.482

---

8.
4
Lattice="-0.033 -3.050 -1.587 4.878 1.177 -2.364 4.885 -1.257 2.314" Properties=species:S:1:pos:R:3 comment="FeSb2Cl | Alexandria | GGA-PBE | optimized geometry" polymorph_energy_mev_per_atom=110 rho_g_cm3=6.3 formation_energy_uncorrected_ev_per_atom=0.0273 pbc="T T T"
Sb 9.203 -0.075 -0.047
Fe 7.302 -1.585 -0.832
Cl 5.589 -0.046 -0.028
Sb 2.279 -1.544 -0.806

---

9.
10
Lattice="4.932 0.000 0.000 0.000 4.932 0.000 0.000 0.000 10.963" Properties=species:S:1:pos:R:3 comment="Ba2Bi3SbPd4 | Alexandria | GGA-PBE | optimized geometry" rho_g_cm3=9.0 formation_energy_uncorrected_ev_per_atom=-0.6644 pbc="T T T"
Pd 2.466 0.000 6.781
Bi 0.000 0.000 5.481
Ba 2.466 0.000 2.664
Pd 2.466 2.466 0.000
Sb 2.466 2.466 5.481
Pd 0.000 2.466 4.182
Bi 2.466 0.000 9.598
Bi 0.000 2.466 1.365
Ba 0.000 2.466 8.298
Pd 0.000 0.000 0.000

---

10.
5
Lattice="-1.832 3.203 0.925 -3.133 -1.293 -1.727 -4.692 -2.135 5.922" Properties=species:S:1:pos:R:3 comment="Hf2Ge2Bi | Alexandria | GGA-PBE | optimized geometry" polymorph_energy_mev_per_atom=0 formation_energy_ev_per_atom=-0.2929 rho_g_cm3=11.1 pbc="T T T"
Hf -2.964 0.281 0.977
Ge -5.153 -1.237 1.897
Ge -4.503 1.011 3.223
Hf -6.693 -0.507 4.143
Bi 0.000 0.000 0.000

---

11.
5
Lattice="-4.553 -0.399 -1.959 -1.951 -0.178 4.571 -0.437 4.954 0.007" Properties=species:S:1:pos:R:3 comment="TaGa3Pd | Alexandria | GGA-PBE | optimized geometry" polymorph_energy_mev_per_atom=143 formation_energy_ev_per_atom=0.7877 rho_g_cm3=6.7 pbc="T T T"
Pd -3.471 2.188 1.309
Ga -0.219 2.477 0.003
Ta 0.000 0.000 0.000
Ga -0.975 -0.089 2.285
Ga -2.277 -0.200 -0.980

---

12.
6
Lattice="-0.204 0.351 5.252 -4.414 1.639 2.360 -2.932 -3.400 2.755" Properties=species:S:1:pos:R:3 comment="InRu4Cl | Alexandria | GGA-PBE | optimized geometry" rho_g_cm3=8.9 formation_energy_uncorrected_ev_per_atom=0.8673 pbc="T T T"
Ru -2.938 -0.355 6.506
Ru -2.837 -0.530 3.895
Ru -4.294 -2.220 5.265
In 0.000 0.000 0.000
Ru -5.031 0.285 5.068
Cl -5.663 -1.057 7.775